This record from Alexandria describes PrAsS4 after structural relaxation. The functional is GGA-PBE.

abc: 6.0223 7.5785 9.1037
angles: 90.00 90.00 130.32
Sites, in units of the cell vectors:
Pr  0.9519  0.6309  0.7500
Pr  0.0481  0.3691  0.2500
As  0.9419  0.1156  0.7500
As  0.0581  0.8844  0.2500
S  0.5700  0.7455  0.7500
S  0.4300  0.2545  0.2500
S  0.3279  0.1485  0.7500
S  0.6721  0.8515  0.2500
S  0.0833  0.7018  0.0684
S  0.9167  0.2982  0.5684
S  0.0833  0.7018  0.4316
S  0.9167  0.2982  0.9316

## Properties
Size of the total moment, μB per atom: 0.000
VASP energy, eV per formula unit: -30.87

This record from Alexandria describes Pr8AsS6 after structural relaxation. The functional is GGA-PBE.

abc: 4.2072 10.4670 10.4670
angles: 120.00 90.00 90.00
Sites, in units of the cell vectors:
Pr  0.7423  0.9679  0.2947
Pr  0.7423  0.7053  0.6732
Pr  0.7423  0.3268  0.0321
Pr  0.2577  0.0321  0.7053
Pr  0.2577  0.2947  0.3268
Pr  0.2577  0.6732  0.9679
Pr  0.7478  0.3333  0.6667
Pr  0.2522  0.6667  0.3333
As  0.5000  0.0000  0.0000
S  0.7529  0.6516  0.1333
S  0.7529  0.8667  0.5183
S  0.7529  0.4817  0.3484
S  0.2471  0.3484  0.8667
S  0.2471  0.1333  0.4817
S  0.2471  0.5183  0.6516

## Properties
Size of the total moment, μB per atom: 0.000
VASP energy, eV per formula unit: -91.01

> VASP energy of number 2 (Pr8AsS6)?

-91.01 eV per formula unit